# AsPt2Cl

A relaxed structure of AsPt2Cl (PBE, the Alexandria database).

## Properties
Its volume is 18.728 A^3/atom. The density of states at the Fermi level comes out at 2.629 states/eV/f.u. The energy above the lowest structure with this stoichiometry is 26.3 kJ/mol of atoms.

The structure in POSCAR format:
```
AsPt2Cl
1.0
3.429 0.000 0.000
0.000 2.924 -0.019
0.000 -2.885 7.490
Pt As Cl
2 1 1
Cartesian
0.000 0.000 0.119
0.000 0.020 3.616
1.714 0.010 1.868
1.714 0.029 5.603
```